Below is an optimized crystal structure of PmCd2Ag2Hg2, with properties calculated at the PBE-GGA level.

Space-group type   C2/m, No. 12
Formation enthalpy at 0 K   -0.188 eV/atom

a b c (Å): 4.434 5.207 7.684
angles (deg): 97.09 90.00 115.20
Fractional coordinates of all 7 atoms:
Pm  0.000  0.000  0.000
Cd  0.135  0.270  0.433
Cd  0.865  0.730  0.567
Ag  0.581  0.162  0.699
Ag  0.419  0.838  0.301
Hg  0.712  0.424  0.180
Hg  0.288  0.576  0.820

=====

Below is an optimized crystal structure of Pm2CdAgHg4, with properties calculated at the PBE-GGA level.

Space-group type   R-3m, No. 166
Formation enthalpy at 0 K   -0.386 eV/atom

a b c (Å): 5.120 5.120 8.900
angles (deg): 73.28 73.28 60.00
Fractional coordinates of all 8 atoms:
Pm  0.750  0.750  0.750
Pm  0.250  0.250  0.250
Cd  0.000  0.000  0.000
Ag  0.500  0.500  0.500
Hg  0.376  0.376  0.871
Hg  0.873  0.873  0.381
Hg  0.127  0.127  0.619
Hg  0.624  0.624  0.129

=====

Below is an optimized crystal structure of Pr4CdAgHg2, with properties calculated at the PBE-GGA level.

Space-group type   R-3m, No. 166
Formation enthalpy at 0 K   -0.380 eV/atom

a b c (Å): 5.440 5.440 9.422
angles (deg): 73.22 73.22 60.00
Last column: magnetic moment on the atom in μB.
Fractional coordinates of all 8 atoms:
Pr  0.378  0.378  0.866  0.12
Pr  0.872  0.872  0.383  0.18
Pr  0.128  0.128  0.617  0.18
Pr  0.622  0.622  0.134  0.12
Cd  0.000  0.000  0.000  0.00
Ag  0.500  0.500  0.500  0.02
Hg  0.746  0.746  0.762  0.01
Hg  0.254  0.254  0.238  0.01

=====

Below is an optimized crystal structure of Pr4CdAg2Hg, with properties calculated at the PBE-GGA level.

Space-group type   R-3m, No. 166
Formation enthalpy at 0 K   -0.318 eV/atom

a b c (Å): 5.415 5.415 9.383
angles (deg): 73.23 73.23 60.00
Last column: magnetic moment on the atom in μB.
Fractional coordinates of all 8 atoms:
Pr  0.376  0.376  0.871  0.10
Pr  0.874  0.874  0.378  0.13
Pr  0.126  0.126  0.622  0.13
Pr  0.624  0.624  0.129  0.10
Cd  0.000  0.000  0.000  0.00
Ag  0.747  0.747  0.760  0.01
Ag  0.253  0.253  0.240  0.01
Hg  0.500  0.500  0.500  0.01

=====

Below is an optimized crystal structure of Pr4Cd2AgHg, with properties calculated at the PBE-GGA level.

Space-group type   R-3m, No. 166
Formation enthalpy at 0 K   -0.333 eV/atom

a b c (Å): 5.451 5.451 9.442
angles (deg): 73.22 73.22 60.00
Last column: magnetic moment on the atom in μB.
Fractional coordinates of all 8 atoms:
Pr  0.376  0.376  0.871  0.17
Pr  0.874  0.874  0.378  0.17
Pr  0.126  0.126  0.622  0.17
Pr  0.624  0.624  0.129  0.17
Cd  0.750  0.750  0.751  0.01
Cd  0.250  0.250  0.249  0.01
Ag  0.500  0.500  0.500  0.02
Hg  0.000  0.000  0.000  0.01

=====

Below is an optimized crystal structure of CdAgHgPt, with properties calculated at the PBE-GGA level.

Space-group type   F-43m, No. 216
Formation enthalpy at 0 K   -0.067 eV/atom

a b c (Å): 4.732 4.732 4.732
angles (deg): 60.00 60.00 60.00
Fractional coordinates of all 4 atoms:
Ag  0.750  0.750  0.750
Hg  0.000  0.000  0.000
Pt  0.250  0.250  0.250
Cd  0.500  0.500  0.500

=====

Below is an optimized crystal structure of PuCd2AgHg2, with properties calculated at the PBE-GGA level.

Space-group type   P-3m1, No. 164
Formation enthalpy at 0 K   -0.054 eV/atom

a b c (Å): 4.931 4.931 6.708
angles (deg): 90.00 90.00 120.00
Last column: magnetic moment on the atom in μB.
Fractional coordinates of all 6 atoms:
Pu  0.000  0.000  0.000  5.49
Cd  0.333  0.667  0.680  0.00
Cd  0.667  0.333  0.320  0.00
Ag  0.000  0.000  0.500  0.02
Hg  0.333  0.667  0.215  0.03
Hg  0.667  0.333  0.785  0.03

=====

Below is an optimized crystal structure of RbCdAgHg, with properties calculated at the PBE-GGA level.

Space-group type   F-43m, No. 216
Formation enthalpy at 0 K   0.056 eV/atom

a b c (Å): 5.556 5.556 5.556
angles (deg): 60.00 60.00 60.00
Fractional coordinates of all 4 atoms:
Rb  0.250  0.250  0.250
Hg  0.500  0.500  0.500
Ag  0.000  0.000  0.000
Cd  0.750  0.750  0.750

=====

Below is an optimized crystal structure of Rb2Cd4AgHg3, with properties calculated at the PBE-GGA level.

Space-group type   P-4m2, No. 115
Formation enthalpy at 0 K   -0.101 eV/atom

a b c (Å): 4.986 4.986 12.387
angles (deg): 90.00 90.00 90.00
Fractional coordinates of all 10 atoms:
Rb  0.500  0.000  0.257
Rb  0.000  0.500  0.743
Cd  0.500  0.500  0.000
Cd  0.000  0.000  0.000
Cd  0.500  0.000  0.624
Cd  0.000  0.500  0.376
Ag  0.500  0.500  0.500
Hg  0.000  0.000  0.500
Hg  0.500  0.000  0.862
Hg  0.000  0.500  0.138

=====

Below is an optimized crystal structure of Rb2Cd6AgHg, with properties calculated at the PBE-GGA level.

Space-group type   Immm, No. 71
Formation enthalpy at 0 K   0.035 eV/atom

a b c (Å): 7.822 7.823 7.832
angles (deg): 59.97 59.98 89.98
Fractional coordinates of all 10 atoms:
Rb  0.750  0.250  0.500
Rb  0.250  0.750  0.500
Cd  0.255  0.255  0.491
Cd  0.745  0.745  0.000
Cd  0.255  0.746  0.000
Cd  0.745  0.254  0.000
Cd  0.255  0.255  0.000
Cd  0.745  0.745  0.509
Ag  0.500  0.500  0.000
Hg  0.000  0.000  0.000

=====

Below is an optimized crystal structure of Rb2Cd12Ag3Hg, with properties calculated at the PBE-GGA level.

Space-group type   R-3m, No. 166
Formation enthalpy at 0 K   0.142 eV/atom

a b c (Å): 9.117 9.117 9.117
angles (deg): 65.12 65.12 65.12
Fractional coordinates of all 18 atoms:
Rb  0.592  0.592  0.592
Rb  0.408  0.408  0.408
Cd  0.338  0.338  0.002
Cd  0.869  0.869  0.361
Cd  0.361  0.869  0.869
Cd  0.002  0.338  0.338
Cd  0.869  0.361  0.869
Cd  0.338  0.002  0.338
Cd  0.662  0.662  0.998
Cd  0.131  0.131  0.639
Cd  0.639  0.131  0.131
Cd  0.998  0.662  0.662
Cd  0.131  0.639  0.131
Cd  0.662  0.998  0.662
Ag  0.500  0.000  0.000
Ag  0.000  0.500  0.000
Ag  0.000  0.000  0.500
Hg  0.000  0.000  0.000

=====

Below is an optimized crystal structure of Rb2CdAgHg6, with properties calculated at the PBE-GGA level.

Space-group type   Fmmm, No. 69
Formation enthalpy at 0 K   -0.092 eV/atom

a b c (Å): 8.003 8.003 7.991
angles (deg): 59.89 59.89 89.86
Fractional coordinates of all 10 atoms:
Rb  0.250  0.750  0.500
Rb  0.750  0.250  0.500
Cd  0.000  0.000  0.000
Ag  0.500  0.500  0.000
Hg  0.254  0.746  0.000
Hg  0.746  0.746  0.000
Hg  0.254  0.254  0.492
Hg  0.746  0.254  0.000
Hg  0.254  0.254  0.000
Hg  0.746  0.746  0.508

=====

> Which value of formation enthalpy at 0 K does entry 6 give?

-0.067 eV/atom